# 1
# NdTmS2 PBE relaxed
# Energy   -6.362 eV per atom
# Offset from the most stable computed form   0.000 eV per formula unit
# Total moment   0.001 μB per atom
data_NdTmS2
_chemical_formula_sum 'Nd1 Tm1 S2'
_space_group_name_H-M_alt 'P 1'
_space_group_IT_number 1
_space_group_name_Hall 'P 1'
_cell_length_a 3.9038
_cell_length_b 3.9038
_cell_length_c 6.9867
_cell_angle_alpha 106.27
_cell_angle_beta 106.27
_cell_angle_gamma 60.10
loop_
_atom_site_label
_atom_site_fract_x
_atom_site_fract_y
_atom_site_fract_z
Nd1 0.0000 0.0000 0.0000
Tm1 0.5000 0.5000 0.5000
S1 0.2426 0.2426 0.7276
S2 0.7574 0.7574 0.2724

# 2
# LiZrSn2 PBE relaxed
# Energy   -4.540 eV per atom
# Total moment   0.072 μB per atom
data_LiZrSn2
_chemical_formula_sum 'Li1 Zr1 Sn2'
_space_group_name_H-M_alt 'P 1'
_space_group_IT_number 1
_space_group_name_Hall 'P 1'
_cell_length_a 5.0497
_cell_length_b 5.0497
_cell_length_c 5.0497
_cell_angle_alpha 60.00
_cell_angle_beta 60.00
_cell_angle_gamma 60.00
loop_
_atom_site_label
_atom_site_fract_x
_atom_site_fract_y
_atom_site_fract_z
Li1 0.0000 0.0000 0.0000
Zr1 0.2500 0.2500 0.2500
Sn1 0.5000 0.5000 0.5000
Sn2 0.7500 0.7500 0.7500

# 3
# SrUAs PBE relaxed
# Energy   -5.791 eV per atom
# Offset from the most stable computed form   0.000 eV per formula unit
# Total moment   1.493 μB per atom
data_SrUAs
_chemical_formula_sum 'Sr3 U3 As3'
_space_group_name_H-M_alt 'P 1'
_space_group_IT_number 1
_space_group_name_Hall 'P 1'
_cell_length_a 5.3448
_cell_length_b 5.3448
_cell_length_c 9.7733
_cell_angle_alpha 90.00
_cell_angle_beta 90.00
_cell_angle_gamma 120.00
loop_
_atom_site_label
_atom_site_fract_x
_atom_site_fract_y
_atom_site_fract_z
Sr1 0.0000 0.0000 0.0000
Sr2 0.0000 0.0000 0.3744
Sr3 0.3333 0.6667 0.6861
U1 0.6667 0.3333 0.1868
U2 0.6667 0.3333 0.5262
U3 0.6667 0.3333 0.8456
As1 0.0000 0.0000 0.6875
As2 0.3333 0.6667 0.0036
As3 0.3333 0.6667 0.3700

# 4
# Ta2ZnMo PBE relaxed
# Calculated formation energy   0.179 eV/atom
# Energy   -8.775 eV per atom
# Total moment   0.002 μB per atom
data_Ta2ZnMo
_chemical_formula_sum 'Ta2 Zn1 Mo1'
_space_group_name_H-M_alt 'P 1'
_space_group_IT_number 1
_space_group_name_Hall 'P 1'
_cell_length_a 4.5491
_cell_length_b 4.5491
_cell_length_c 4.5491
_cell_angle_alpha 60.00
_cell_angle_beta 60.00
_cell_angle_gamma 60.00
loop_
_atom_site_label
_atom_site_fract_x
_atom_site_fract_y
_atom_site_fract_z
Ta1 0.0000 0.0000 0.0000
Ta2 0.2500 0.2500 0.2500
Zn1 0.5000 0.5000 0.5000
Mo1 0.7500 0.7500 0.7500

# 5
# BaGe2Au2 PBE relaxed
# Energy   -4.038 eV per atom
data_BaGe2Au2
_chemical_formula_sum 'Ba1 Ge2 Au2'
_space_group_name_H-M_alt 'P 1'
_space_group_IT_number 1
_space_group_name_Hall 'P 1'
_cell_length_a 6.2942
_cell_length_b 6.2942
_cell_length_c 6.2942
_cell_angle_alpha 136.21
_cell_angle_beta 136.21
_cell_angle_gamma 63.66
loop_
_atom_site_label
_atom_site_fract_x
_atom_site_fract_y
_atom_site_fract_z
Ba1 0.0000 0.0000 0.0000
Ge1 0.3758 0.3758 0.0000
Ge2 0.6242 0.6242 0.0000
Au1 0.2500 0.7500 0.5000
Au2 0.7500 0.2500 0.5000

# 6
# LiLuNb2 PBE relaxed
# Energy   -6.351 eV per atom
# Total moment   0.005 μB per atom
data_LiLuNb2
_chemical_formula_sum 'Li1 Lu1 Nb2'
_space_group_name_H-M_alt 'P 1'
_space_group_IT_number 1
_space_group_name_Hall 'P 1'
_cell_length_a 4.7552
_cell_length_b 4.7552
_cell_length_c 4.7552
_cell_angle_alpha 60.00
_cell_angle_beta 60.00
_cell_angle_gamma 60.00
loop_
_atom_site_label
_atom_site_fract_x
_atom_site_fract_y
_atom_site_fract_z
Li1 0.0000 0.0000 0.0000
Lu1 0.2500 0.2500 0.2500
Nb1 0.5000 0.5000 0.5000
Nb2 0.7500 0.7500 0.7500

# 7
# SiNiMo4N2 PBE relaxed
# Energy   -8.901 eV per atom
# Total moment   0.002 μB per atom
data_SiNiMo4N2
_chemical_formula_sum 'Si1 Ni1 Mo4 N2'
_space_group_name_H-M_alt 'P 1'
_space_group_IT_number 1
_space_group_name_Hall 'P 1'
_cell_length_a 2.8361
_cell_length_b 2.8361
_cell_length_c 14.0952
_cell_angle_alpha 90.00
_cell_angle_beta 90.00
_cell_angle_gamma 120.00
loop_
_atom_site_label
_atom_site_fract_x
_atom_site_fract_y
_atom_site_fract_z
Si1 0.0000 0.0000 0.0000
Ni1 0.6667 0.3333 0.5000
Mo1 0.0000 0.0000 0.3487
Mo2 0.0000 0.0000 0.6513
Mo3 0.6667 0.3333 0.1480
Mo4 0.6667 0.3333 0.8520
N1 0.3333 0.6667 0.2480
N2 0.3333 0.6667 0.7520

# 8
# GdPd2O4 PBE relaxed
# Energy   -6.145 eV per atom
# Total moment   0.429 μB per atom
data_GdPd2O4
_chemical_formula_sum 'Gd2 Pd4 O8'
_space_group_name_H-M_alt 'P 1'
_space_group_IT_number 1
_space_group_name_Hall 'P 1'
_cell_length_a 6.4857
_cell_length_b 6.4857
_cell_length_c 6.4857
_cell_angle_alpha 60.00
_cell_angle_beta 60.00
_cell_angle_gamma 60.00
loop_
_atom_site_label
_atom_site_fract_x
_atom_site_fract_y
_atom_site_fract_z
Gd1 0.1250 0.1250 0.1250
Gd2 0.8750 0.8750 0.8750
Pd1 0.0000 0.5000 0.5000
Pd2 0.5000 0.0000 0.5000
Pd3 0.5000 0.5000 0.0000
Pd4 0.5000 0.5000 0.5000
O1 0.2625 0.2625 0.2625
O2 0.2625 0.2625 0.7125
O3 0.2625 0.7125 0.2625
O4 0.2875 0.7375 0.7375
O5 0.7125 0.2625 0.2625
O6 0.7375 0.2875 0.7375
O7 0.7375 0.7375 0.2875
O8 0.7375 0.7375 0.7375